(1)
CdHg2Sb2 | GGA-PBE | relaxed

Cell: 4.310 4.310 15.770 Å, 90.00 90.00 90.00°
Space group I4/mmm (No. 139)
Inequivalent atoms, fractional coordinates:
1 Cd 0.000 0.000 0.000 [2 per cell]
2 Hg 0.000 0.000 0.408 [4 per cell]
3 Sb 0.000 0.500 0.250 [4 per cell]

- raw formation energy (kJ/mol of atoms) = 17.8
- calculated total energy (eV per atom) = -1.769
- M_tot (μB per formula unit) = 0.000

(2)
Er5ThSb4 | GGA-PBE | relaxed

Cell: 18.628 4.327 8.423 Å, 90.00 106.39 90.00°
Space group C2/m (No. 12)
Inequivalent atoms, fractional coordinates:
1 Er 0.000 0.000 0.000 [2 per cell]
2 Er 0.159 0.500 0.316 [4 per cell]
3 Er 0.184 0.500 0.848 [4 per cell]
4 Th 0.000 0.000 0.500 [2 per cell]
5 Sb 0.014 0.500 0.772 [4 per cell]
6 Sb 0.174 0.000 0.585 [4 per cell]

- raw formation energy (kJ/mol of atoms) = -61.2
- calculated total energy (eV per atom) = -5.307
- M_tot (μB per formula unit) = 0.000

(3)
Cd2TcAg | GGA-PBE | relaxed

Cell: 2.842 2.842 9.066 Å, 90.00 90.00 90.00°
Space group P4mm (No. 99)
Inequivalent atoms, fractional coordinates:
1 Cd 0.000 0.000 0.000 [1 per cell]
2 Cd 0.500 0.500 0.280 [1 per cell]
3 Tc 0.000 0.000 0.517 [1 per cell]
4 Ag 0.500 0.500 0.749 [1 per cell]

- DFT formation energy (meV per atom) = 350.8
- calculated total energy (eV per atom) = -3.411
- M_tot (μB per formula unit) = 0.460

(4)
KInSe | GGA-PBE | relaxed

Cell: 7.475 7.475 7.475 Å, 90.00 90.00 90.00°
Space group F-43m (No. 216)
Inequivalent atoms, fractional coordinates:
1 K 0.000 0.000 0.000 [4 per cell]
2 In 0.250 0.250 0.750 [4 per cell]
3 Se 0.250 0.250 0.250 [4 per cell]

- raw formation energy (kJ/mol of atoms) = -31.2
- calculated total energy (eV per atom) = -2.764
- M_tot (μB per formula unit) = 0.000

(5)
NaNb3Cr | GGA-PBE | relaxed

Cell: 4.711 4.711 4.711 Å, 90.00 90.00 90.00°
Space group Pm-3m (No. 221)
Inequivalent atoms, fractional coordinates:
1 Na 0.000 0.000 0.000 [1 per cell]
2 Nb 0.000 0.500 0.500 [3 per cell]
3 Cr 0.500 0.500 0.500 [1 per cell]

- DFT formation energy (meV per atom) = 1006.5
- calculated total energy (eV per atom) = -7.224
- M_tot (μB per formula unit) = 0.000

(6)
CsTiAlO4 | GGA-PBE | relaxed

Cell: 5.358 5.571 7.681 Å, 90.00 90.23 90.00°
Space group P2_1/m (No. 11)
Inequivalent atoms, fractional coordinates:
1 Cs 0.237 0.250 0.105 [2 per cell]
2 Ti 0.171 0.750 0.475 [2 per cell]
3 Al 0.351 0.250 0.628 [2 per cell]
4 O 0.111 0.024 0.638 [4 per cell]
5 O 0.361 0.750 0.258 [2 per cell]
6 O 0.496 0.750 0.574 [2 per cell]

- raw formation energy (kJ/mol of atoms) = -252.6
- calculated total energy (eV per atom) = -7.236
- M_tot (μB per formula unit) = 0.000

(7)
LaErOs | GGA-PBE | relaxed

Cell: 3.442 3.442 13.653 Å, 90.00 90.00 90.00°
Space group I4mm (No. 107)
Inequivalent atoms, fractional coordinates:
1 La 0.000 0.000 0.000 [2 per cell]
2 Er 0.000 0.000 0.248 [2 per cell]
3 Os 0.000 0.000 0.632 [2 per cell]

- DFT formation energy (meV per atom) = -161.1
- calculated total energy (eV per atom) = -7.068
- M_tot (μB per formula unit) = 0.000

(8)
PrYI6 | GGA-PBE | relaxed

Cell: 7.7416 7.7416 21.0286 Å, 90.00 90.00 120.00°
Space group R-3 (No. 148, hexagonal axes)
Inequivalent atoms, fractional coordinates:
1 Pr 0.0000 0.0000 0.0000 [3 per cell]
2 Y 0.0000 0.0000 0.5000 [3 per cell]
3 I 0.0008 0.6756 0.5820 [18 per cell]

- raw formation energy (kJ/mol of atoms) = -130.0
- calculated total energy (eV per atom) = -3.916
- M_tot (μB per formula unit) = 0.000

(9)
RbHf2Cl | GGA-PBE | relaxed

Cell: 7.495 7.495 7.495 Å, 90.00 90.00 90.00°
Space group Fm-3m (No. 225)
Inequivalent atoms, fractional coordinates:
1 Rb 0.000 0.000 0.000 [4 per cell]
2 Hf 0.250 0.250 0.250 [8 per cell]
3 Cl 0.000 0.000 0.500 [4 per cell]

- raw formation energy (kJ/mol of atoms) = 130.3
- calculated total energy (eV per atom) = -4.330
- M_tot (μB per formula unit) = 0.000

(10)
TbSmAu6 | GGA-PBE | relaxed

Cell: 8.934 4.674 9.004 Å, 90.00 116.92 90.00°
Space group C2/m (No. 12)
Inequivalent atoms, fractional coordinates:
1 Tb 0.000 0.000 0.000 [2 per cell]
2 Sm 0.000 0.500 0.500 [2 per cell]
3 Au 0.122 0.000 0.369 [4 per cell]
4 Au 0.127 0.500 0.878 [4 per cell]
5 Au 0.247 0.500 0.250 [4 per cell]

- DFT formation energy (meV per atom) = -657.8
- calculated total energy (eV per atom) = -4.285
- M_tot (μB per formula unit) = 0.000

(11)
SrZn2Cl | GGA-PBE | relaxed

Cell: 9.042 9.042 5.597 Å, 90.00 90.00 90.00°
Space group I-42d (No. 122)
Inequivalent atoms, fractional coordinates:
1 Sr 0.000 0.000 0.000 [4 per cell]
2 Zn 0.243 0.250 0.625 [8 per cell]
3 Cl 0.000 0.000 0.500 [4 per cell]

- raw formation energy (kJ/mol of atoms) = -52.1
- calculated total energy (eV per atom) = -2.059
- M_tot (μB per formula unit) = 0.000

(12)
Ce2Ge3Ir5 | GGA-PBE | relaxed

Cell: 4.003 4.003 11.624 Å, 90.00 90.00 90.00°
Space group P-4m2 (No. 115)
Inequivalent atoms, fractional coordinates:
1 Ce 0.000 0.500 0.219 [2 per cell]
2 Ge 0.000 0.500 0.639 [2 per cell]
3 Ge 0.500 0.500 0.500 [1 per cell]
4 Ir 0.000 0.000 0.000 [1 per cell]
5 Ir 0.000 0.000 0.500 [1 per cell]
6 Ir 0.000 0.500 0.844 [2 per cell]
7 Ir 0.500 0.500 0.000 [1 per cell]

- DFT formation energy (meV per atom) = -438.4
- calculated total energy (eV per atom) = -7.441
- M_tot (μB per formula unit) = 0.000

(13)
AcSm3Pd2 | GGA-PBE | relaxed

Cell: 16.826 5.183 8.902 Å, 90.00 117.92 90.00°
Space group C2/m (No. 12)
Inequivalent atoms, fractional coordinates:
1 Ac 0.134 0.000 0.208 [4 per cell]
2 Sm 0.062 0.000 0.721 [4 per cell]
3 Sm 0.121 0.500 0.507 [4 per cell]
4 Sm 0.193 0.500 0.992 [4 per cell]
5 Pd 0.005 0.500 0.848 [4 per cell]
6 Pd 0.215 0.000 0.628 [4 per cell]

- DFT formation energy (meV per atom) = -449.7
- calculated total energy (eV per atom) = -5.225
- M_tot (μB per formula unit) = 0.000

(14)
SiRh2Se | GGA-PBE | relaxed

Cell: 6.167 6.167 6.167 Å, 90.00 90.00 90.00°
Space group Fm-3m (No. 225)
Inequivalent atoms, fractional coordinates:
1 Si 0.000 0.000 0.000 [4 per cell]
2 Rh 0.250 0.250 0.250 [8 per cell]
3 Se 0.000 0.000 0.500 [4 per cell]

- raw formation energy (kJ/mol of atoms) = -11.0
- calculated total energy (eV per atom) = -6.017
- M_tot (μB per formula unit) = 0.000

(15)
ReAgAu | GGA-PBE | relaxed

Cell: 2.8144 2.8144 7.2466 Å, 90.00 90.00 120.00°
Space group P3m1 (No. 156)
Inequivalent atoms, fractional coordinates:
1 Re 0.0000 0.0000 0.0000 [1 per cell]
2 Ag 0.6667 0.3333 0.3314 [1 per cell]
3 Au 0.3333 0.6667 0.6749 [1 per cell]

- DFT formation energy (meV per atom) = 430.6
- calculated total energy (eV per atom) = -5.762
- M_tot (μB per formula unit) = 0.000

(16)
CsSiSb2I | GGA-PBE | relaxed

Cell: 5.299 5.299 7.114 Å, 90.00 90.00 90.00°
Space group P4/mmm (No. 123)
Inequivalent atoms, fractional coordinates:
1 Cs 0.000 0.000 0.000 [1 per cell]
2 Si 0.500 0.500 0.500 [1 per cell]
3 Sb 0.000 0.500 0.500 [2 per cell]
4 I 0.500 0.500 0.000 [1 per cell]

- raw formation energy (kJ/mol of atoms) = 4.0
- calculated total energy (eV per atom) = -3.173
- M_tot (μB per formula unit) = 0.000

(17)
NaUCoS3 | GGA-PBE | relaxed

Cell: 8.170 3.775 8.631 Å, 90.00 104.81 90.00°
Space group P2_1/m (No. 11)
Inequivalent atoms, fractional coordinates:
1 Na 0.187 0.250 0.230 [2 per cell]
2 U 0.322 0.750 0.832 [2 per cell]
3 Co 0.083 0.250 0.587 [2 per cell]
4 S 0.101 0.250 0.855 [2 per cell]
5 S 0.198 0.750 0.518 [2 per cell]
6 S 0.435 0.750 0.161 [2 per cell]

- raw formation energy (kJ/mol of atoms) = -103.0
- calculated total energy (eV per atom) = -6.417
- M_tot (μB per formula unit) = 2.779

(18)
Ac2ZrN2O2 | GGA-PBE | relaxed

Cell: 4.322 4.322 12.801 Å, 90.00 90.00 90.00°
Space group I4/mmm (No. 139)
Inequivalent atoms, fractional coordinates:
1 Ac 0.000 0.000 0.135 [4 per cell]
2 Zr 0.000 0.000 0.500 [2 per cell]
3 N 0.000 0.500 0.000 [4 per cell]
4 O 0.000 0.000 0.325 [4 per cell]

- raw formation energy (kJ/mol of atoms) = -215.7
- calculated total energy (eV per atom) = -8.426
- M_tot (μB per formula unit) = 0.000

(19)
Ta5MnTc4 | GGA-PBE | relaxed

Cell: 3.167 3.167 15.824 Å, 90.00 90.00 90.00°
Space group P4/mmm (No. 123)
Inequivalent atoms, fractional coordinates:
1 Ta 0.000 0.000 0.000 [1 per cell]
2 Ta 0.000 0.000 0.203 [2 per cell]
3 Ta 0.000 0.000 0.404 [2 per cell]
4 Mn 0.500 0.500 0.500 [1 per cell]
5 Tc 0.500 0.500 0.101 [2 per cell]
6 Tc 0.500 0.500 0.304 [2 per cell]

- DFT formation energy (meV per atom) = -435.3
- calculated total energy (eV per atom) = -11.425
- M_tot (μB per formula unit) = 0.000

(20)
DySbH | GGA-PBE | relaxed

Cell: 3.256 3.256 11.153 Å, 90.00 90.00 90.00°
Space group I4mm (No. 107)
Inequivalent atoms, fractional coordinates:
1 Dy 0.000 0.000 0.000 [2 per cell]
2 Sb 0.000 0.000 0.285 [2 per cell]
3 H 0.000 0.000 0.552 [2 per cell]

- calculated total energy (eV per atom) = -4.450
- M_tot (μB per formula unit) = 0.000